# TiMnBi3, optimized geometry, DFT PBE-GGA
data_TiMnBi3
_symmetry_space_group_name_H-M 'P 1'
_symmetry_Int_Tables_number 1
_cell_length_a 5.3579
_cell_length_b 5.3579
_cell_length_c 5.3579
_cell_angle_alpha 90.00
_cell_angle_beta 90.00
_cell_angle_gamma 90.00
loop_
_symmetry_equiv_pos_as_xyz
'x,y,z'
loop_
_atom_site_label
_atom_site_type_symbol
_atom_site_fract_x
_atom_site_fract_y
_atom_site_fract_z
Ti1 Ti 0.0000 0.0000 0.0000
Mn1 Mn 0.5000 0.5000 0.5000
Bi1 Bi 0.0000 0.0000 0.5000
Bi2 Bi 0.0000 0.5000 0.0000
Bi3 Bi 0.5000 0.0000 0.0000
# Spin magnetization   0.7 μB per formula unit
# Calculated volume   153.8 Å³/cell
# Relative energy among the computed polymorphs   373 meV/atom



# Ti6MnBi3, optimized geometry, DFT PBE-GGA
data_Ti6MnBi3
_symmetry_space_group_name_H-M 'P 1'
_symmetry_Int_Tables_number 1
_cell_length_a 8.7481
_cell_length_b 4.6223
_cell_length_c 10.5454
_cell_angle_alpha 90.00
_cell_angle_beta 112.32
_cell_angle_gamma 90.00
loop_
_symmetry_equiv_pos_as_xyz
'x,y,z'
loop_
_atom_site_label
_atom_site_type_symbol
_atom_site_fract_x
_atom_site_fract_y
_atom_site_fract_z
Ti1 Ti 0.0269 0.2500 0.4271
Ti2 Ti 0.2161 0.7500 0.1493
Ti3 Ti 0.2730 0.2500 0.0077
Ti4 Ti 0.3570 0.2500 0.2945
Ti5 Ti 0.3874 0.7500 0.8922
Ti6 Ti 0.4557 0.2500 0.6151
Ti7 Ti 0.5443 0.7500 0.3849
Ti8 Ti 0.6126 0.2500 0.1078
Ti9 Ti 0.6430 0.7500 0.7055
Ti10 Ti 0.7270 0.7500 0.9923
Ti11 Ti 0.7839 0.2500 0.8507
Ti12 Ti 0.9731 0.7500 0.5729
Mn1 Mn 0.4666 0.7500 0.1378
Mn2 Mn 0.5334 0.2500 0.8622
Bi1 Bi 0.0020 0.7500 0.8613
Bi2 Bi 0.1947 0.2500 0.7138
Bi3 Bi 0.2659 0.7500 0.4620
Bi4 Bi 0.7341 0.2500 0.5380
Bi5 Bi 0.8053 0.7500 0.2862
Bi6 Bi 0.9980 0.2500 0.1387
# Spin magnetization   0.6 μB per formula unit
# Calculated volume   394.5 Å³/cell
# Relative energy among the computed polymorphs   0 meV/atom



# Ti8MnBi2, optimized geometry, DFT PBE-GGA
data_Ti8MnBi2
_symmetry_space_group_name_H-M 'P 1'
_symmetry_Int_Tables_number 1
_cell_length_a 8.0186
_cell_length_b 8.0186
_cell_length_c 5.4060
_cell_angle_alpha 95.95
_cell_angle_beta 95.95
_cell_angle_gamma 34.53
loop_
_symmetry_equiv_pos_as_xyz
'x,y,z'
loop_
_atom_site_label
_atom_site_type_symbol
_atom_site_fract_x
_atom_site_fract_y
_atom_site_fract_z
Ti1 Ti 0.0412 0.0412 0.2676
Ti2 Ti 0.2352 0.2352 0.3456
Ti3 Ti 0.3571 0.3571 0.8907
Ti4 Ti 0.4192 0.4192 0.4355
Ti5 Ti 0.5808 0.5808 0.5645
Ti6 Ti 0.6429 0.6429 0.1093
Ti7 Ti 0.7648 0.7648 0.6544
Ti8 Ti 0.9588 0.9588 0.7324
Mn1 Mn 0.5000 0.5000 0.0000
Bi1 Bi 0.1571 0.1571 0.8075
Bi2 Bi 0.8429 0.8429 0.1925
# Spin magnetization   0.9 μB per formula unit
# Calculated volume   195.8 Å³/cell
# E   -7.343 eV/atom



# ZrTiMn2Bi, optimized geometry, DFT PBE-GGA
data_ZrTiMn2Bi
_symmetry_space_group_name_H-M 'P 1'
_symmetry_Int_Tables_number 1
_cell_length_a 4.5067
_cell_length_b 4.5067
_cell_length_c 5.2682
_cell_angle_alpha 90.00
_cell_angle_beta 90.00
_cell_angle_gamma 90.00
loop_
_symmetry_equiv_pos_as_xyz
'x,y,z'
loop_
_atom_site_label
_atom_site_type_symbol
_atom_site_fract_x
_atom_site_fract_y
_atom_site_fract_z
Zr1 Zr 0.0000 0.0000 0.0000
Ti1 Ti 0.0000 0.0000 0.5000
Mn1 Mn 0.0000 0.5000 0.5000
Mn2 Mn 0.5000 0.0000 0.5000
Bi1 Bi 0.5000 0.5000 0.0000
# Spin magnetization   4.9 μB per formula unit
# Calculated volume   107.0 Å³/cell
# E   -6.967 eV/atom



# MnTl2Bi, optimized geometry, DFT PBE-GGA
data_MnTl2Bi
_symmetry_space_group_name_H-M 'P 1'
_symmetry_Int_Tables_number 1
_cell_length_a 5.3995
_cell_length_b 5.3995
_cell_length_c 5.3995
_cell_angle_alpha 60.00
_cell_angle_beta 60.00
_cell_angle_gamma 60.00
loop_
_symmetry_equiv_pos_as_xyz
'x,y,z'
loop_
_atom_site_label
_atom_site_type_symbol
_atom_site_fract_x
_atom_site_fract_y
_atom_site_fract_z
Mn1 Mn 0.0000 0.0000 0.0000
Tl1 Tl 0.2500 0.2500 0.2500
Tl2 Tl 0.7500 0.7500 0.7500
Bi1 Bi 0.5000 0.5000 0.5000
# Spin magnetization   4.5 μB per formula unit
# Calculated volume   111.3 Å³/cell
# Relative energy among the computed polymorphs   61 meV/atom



# MnTlBi2, optimized geometry, DFT PBE-GGA
data_MnTlBi2
_symmetry_space_group_name_H-M 'P 1'
_symmetry_Int_Tables_number 1
_cell_length_a 8.0184
_cell_length_b 8.0184
_cell_length_c 8.0184
_cell_angle_alpha 131.54
_cell_angle_beta 131.54
_cell_angle_gamma 70.96
loop_
_symmetry_equiv_pos_as_xyz
'x,y,z'
loop_
_atom_site_label
_atom_site_type_symbol
_atom_site_fract_x
_atom_site_fract_y
_atom_site_fract_z
Mn1 Mn 0.0000 0.0000 0.0000
Mn2 Mn 0.7500 0.2500 0.5000
Tl1 Tl 0.2500 0.7500 0.5000
Tl2 Tl 0.5000 0.5000 0.0000
Bi1 Bi 0.0209 0.6250 0.8959
Bi2 Bi 0.3750 0.2709 0.3959
Bi3 Bi 0.7291 0.1250 0.1041
Bi4 Bi 0.8750 0.9791 0.6041
# Spin magnetization   0.0 μB per formula unit
# Calculated volume   282.9 Å³/cell
# Relative energy among the computed polymorphs   452 meV/atom